(1)
The following is a PBE calculation of a relaxed CdTcBiOs2 crystal, from Alexandria via LeMat-Bulk.

Lattice parameters (Å, degrees): 4.896 4.889 4.896 90.00 90.00 90.00
Last column: magnetic moment on the atom in μB.
Element x y z (fractional)
Cd 0.000 0.000 0.000  0.02
Os 0.500 0.000 0.000  0.29
Os 0.000 0.000 0.500  0.33
Tc 0.000 0.500 0.000  2.31
Bi 0.500 0.500 0.500  -0.10

## Properties
total moment	3.15	Bohr magnetons per cell
energy	-4.988	eV per atom
energy relative to the elements	2537	meV per atom


(2)
The following is a PBE calculation of a relaxed YCdBiOs2 crystal, from Alexandria via LeMat-Bulk.

Lattice parameters (Å, degrees): 5.022 5.563 5.022 90.00 90.00 90.00
Element x y z (fractional)
Cd 0.500 0.500 0.500
Y 0.000 0.500 0.000
Os 0.500 0.000 0.000
Os 0.000 0.000 0.500
Bi 0.000 0.000 0.000

## Properties
relative energy among the computed polymorphs	247	meV per atom
total moment	0.00	Bohr magnetons per cell
energy	-4.932	eV per atom
energy relative to the elements	1812	meV per atom


(3)
The following is a PBE calculation of a relaxed YCdBiOs2 crystal, from Alexandria via LeMat-Bulk.

Lattice parameters (Å, degrees): 5.022 5.252 5.022 90.00 90.00 90.00
Element x y z (fractional)
Bi 0.000 0.000 0.000
Cd 0.000 0.500 0.000
Os 0.500 0.000 0.000
Os 0.000 0.000 0.500
Y 0.500 0.500 0.500

## Properties
relative energy among the computed polymorphs	0	meV per atom
total moment	0.00	Bohr magnetons per cell
energy	-5.178	eV per atom
energy relative to the elements	1566	meV per atom


(4)
The following is a PBE calculation of a relaxed Cd2BiP2 crystal, from Alexandria via LeMat-Bulk.

Lattice parameters (Å, degrees): 4.118 4.118 7.322 73.67 73.67 90.00
Element x y z (fractional)
Cd 0.250 0.750 0.500
Cd 0.750 0.250 0.500
Bi 0.000 0.000 0.000
P 0.612 0.612 0.776
P 0.388 0.388 0.224

## Properties
relative energy among the computed polymorphs	92	meV per atom
total moment	0.00	Bohr magnetons per cell
energy	-2.984	eV per atom
energy relative to the elements	323	meV per atom


(5)
The following is a PBE calculation of a relaxed CdBi3P crystal, from Alexandria via LeMat-Bulk.

Lattice parameters (Å, degrees): 5.462 5.462 5.462 90.00 90.00 90.00
Element x y z (fractional)
P 0.000 0.000 0.000
Bi 0.000 0.000 0.500
Bi 0.500 0.000 0.000
Bi 0.000 0.500 0.000
Cd 0.500 0.500 0.500

## Properties
relative energy among the computed polymorphs	0	meV per atom
total moment	0.00	Bohr magnetons per cell
energy	-3.107	eV per atom
energy relative to the elements	487	meV per atom


(6)
The following is a PBE calculation of a relaxed Cd2BiP2 crystal, from Alexandria via LeMat-Bulk.

Lattice parameters (Å, degrees): 3.501 3.501 9.612 79.51 79.51 90.00
Element x y z (fractional)
P 0.250 0.750 0.500
P 0.750 0.250 0.500
Bi 0.000 0.000 0.000
Cd 0.620 0.620 0.759
Cd 0.380 0.380 0.241

## Properties
relative energy among the computed polymorphs	0	meV per atom
total moment	0.00	Bohr magnetons per cell
energy	-3.075	eV per atom
energy relative to the elements	231	meV per atom


(7)
The following is a PBE calculation of a relaxed CdBiP crystal, from Alexandria via LeMat-Bulk.

Lattice parameters (Å, degrees): 5.831 7.382 7.382 90.00 90.00 90.00
Element x y z (fractional)
Bi 0.000 0.769 0.500
Bi 0.500 0.500 0.769
Bi 0.000 0.231 0.500
Bi 0.500 0.500 0.231
P 0.500 0.762 0.500
P 0.000 0.500 0.762
P 0.500 0.238 0.500
P 0.000 0.500 0.238
Cd 0.500 0.000 0.199
Cd 0.000 0.801 0.000
Cd 0.000 0.199 0.000
Cd 0.500 0.000 0.801

## Properties
total moment	0.00	Bohr magnetons per cell
energy	-3.215	eV per atom
energy relative to the elements	187	meV per atom


(8)
The following is a PBE calculation of a relaxed Cd2BiP crystal, from Alexandria via LeMat-Bulk.

Lattice parameters (Å, degrees): 5.127 5.127 5.127 60.00 60.00 60.00
Element x y z (fractional)
Bi 0.500 0.500 0.500
Cd 0.750 0.750 0.750
Cd 0.250 0.250 0.250
P 0.000 0.000 0.000

## Properties
total moment	0.00	Bohr magnetons per cell
energy	-2.377	eV per atom
energy relative to the elements	403	meV per atom


Which value of total moment does entry 8 give?
0.00 Bohr magnetons per cell